# 1
A relaxed Ca2CuSb crystal. Source: the Alexandria database, functional GGA-PBE.

SG: F-43m
DOS at the Fermi energy (states/eV per cell): 4.36

Structure (POSCAR):
```
Ca2CuSb
1.0
5.254 0.000 0.000
2.627 4.550 0.000
2.627 1.517 4.290
Ca Cu Sb
2 1 1
Cartesian
0.000 0.000 0.000
2.627 1.517 1.073
5.254 3.034 2.145
7.882 4.550 3.218
```

***

# 2
A relaxed CaCuSb2 crystal. Source: the Alexandria database, functional GGA-PBE.

SG: P4mm
DOS at the Fermi energy (states/eV per cell): 2.14

Structure (POSCAR):
```
CaCuSb2
1.0
3.384 0.000 0.000
0.000 3.384 0.000
0.000 0.000 8.827
Sb Cu Ca
2 1 1
Cartesian
0.000 0.000 8.132
1.692 1.692 2.470
1.692 1.692 6.760
0.000 0.000 4.706
```

***

Number 1: formation energy from raw total energies -0.4 eV/f.u.. Number 2: formation energy from raw total energies -0.4 eV/f.u..